DFT (GGA-PBEsol) results for a relaxed structure of CrPbCl2.

Properties
- E_tot (eV/cell) = -73.14
- E_form (uncorrected) (eV/atom) = -0.007

a = 7.059 Å, b = 7.059 Å, c = 7.059 Å
α = 90.00°, β = 90.00°, γ = 90.00°
Space group Fm-3m (No. 225)
One atom of each set of equivalent atoms:
Cr: 0.000 0.000 0.000 (multiplicity 4)
Pb: 0.000 0.000 0.500 (multiplicity 4)
Cl: 0.250 0.250 0.250 (multiplicity 8)